1.
Compound: NaFeGe2
Source: Alexandria via LeMat-Bulk
Functional: PBE
Structure: optimized geometry

Calculated values
Calculated volume: 76.42 Å³/f.u.
Energy: -4.697 eV per atom
Calculated formation energy: 0.06 eV per atom
Crystal system: trigonal

Unit cell a=3.9686 b=3.9686 c=6.0530 alpha=70.86 beta=70.86 gamma=60.00
With the nearest neighbours (Å) after each atom.
Fractional positions:
Ge (0.7099, 0.7099, 0.8703)  3 Fe 2.40
Ge (0.2901, 0.2901, 0.1297)  3 Fe 2.40
Fe (0.0000, 0.0000, 0.0000)  6 Ge 2.40
Na (0.5000, 0.5000, 0.5000)  6 Ge 3.09

2.
Compound: NaFe6Ge6
Source: Alexandria via LeMat-Bulk
Functional: PBE
Structure: optimized geometry

Calculated values
Calculated volume: 178.44 Å³/f.u.
Energy: -6.263 eV per atom
Calculated formation energy: -0.12 eV per atom
Crystal system: orthorhombic

Unit cell a=5.0554 b=6.4644 c=6.4644 alpha=77.45 beta=66.98 gamma=66.98
With the nearest neighbours (Å) after each atom.
Fractional positions:
Fe (0.0000, 0.5000, 0.0000)  6 Ge 2.49-2.63, 4 Fe 2.52-2.53
Fe (0.5000, 0.7467, 0.2533)  6 Ge 2.48-2.63, 4 Fe 2.52
Fe (0.5000, 0.2533, 0.7467)  6 Ge 2.48-2.63, 4 Fe 2.52
Fe (0.5000, 0.5000, 0.0000)  6 Ge 2.49-2.63, 4 Fe 2.52-2.53
Fe (0.0000, 0.0000, 0.5000)  6 Ge 2.49-2.63, 4 Fe 2.52-2.53
Fe (0.5000, 0.0000, 0.5000)  6 Ge 2.49-2.63, 4 Fe 2.52-2.53
Ge (0.0000, 0.6581, 0.3419)  1 Ge 2.56, 6 Fe 2.63, 1 Na 2.77
Ge (0.6682, 0.3318, 0.3318)  6 Fe 2.48-2.49
Ge (0.3359, 0.1641, 0.1641)  6 Fe 2.50
Ge (0.3318, 0.6682, 0.6682)  6 Fe 2.48-2.49
Ge (0.6641, 0.8359, 0.8359)  6 Fe 2.50
Ge (0.0000, 0.3419, 0.6581)  1 Ge 2.56, 6 Fe 2.63, 1 Na 2.77
Na (0.0000, 0.0000, 0.0000)  8 Ge 2.77-2.91

3.
Compound: NaFe3Ge
Source: Alexandria via LeMat-Bulk
Functional: PBE
Structure: optimized geometry

Calculated values
Calculated volume: 89.26 Å³/f.u.
Energy: -4.481 eV per atom
Calculated formation energy: 1.78 eV per atom
Crystal system: cubic

Unit cell a=4.4691 b=4.4691 c=4.4691 alpha=90.00 beta=90.00 gamma=90.00
With the nearest neighbours (Å) after each atom.
Fractional positions:
Fe (0.5000, 0.0000, 0.0000)  2 Na 2.23
Fe (0.0000, 0.0000, 0.5000)  2 Na 2.23
Fe (0.0000, 0.5000, 0.0000)  2 Na 2.23
Ge (0.5000, 0.5000, 0.5000)  12 Fe 3.16
Na (0.0000, 0.0000, 0.0000)  6 Fe 2.23

4.
Compound: Na2NbFeGe
Source: Alexandria via LeMat-Bulk
Functional: PBE
Structure: optimized geometry

Calculated values
Calculated volume: 115.21 Å³/f.u.
Energy: -4.043 eV per atom
Calculated formation energy: 1.11 eV per atom
Crystal system: tetragonal

Unit cell a=5.1244 b=4.3874 c=5.1244 alpha=90.00 beta=90.00 gamma=90.00
With the nearest neighbours (Å) after each atom.
Fractional positions:
Na (0.5000, 0.0000, 0.0000)  2 Fe 2.56
Na (0.0000, 0.0000, 0.5000)  2 Fe 2.56
Fe (0.0000, 0.0000, 0.0000)  2 Nb 2.19
Ge (0.5000, 0.5000, 0.5000)  8 Na 3.37, 4 Nb 3.62
Nb (0.0000, 0.5000, 0.0000)  2 Fe 2.19